No. 1
# PWN2, optimized geometry, DFT PBE-GGA
# - E_form (uncorrected) (meV per atom) = 98
data_PWN2
_chemical_formula_sum 'P3 W3 N6'
_cell_length_a 2.7267
_cell_length_b 2.7267
_cell_length_c 18.7069
_cell_angle_alpha 90.00
_cell_angle_beta 90.00
_cell_angle_gamma 120.00
_symmetry_space_group_name_H-M 'R -3 m'
_symmetry_Int_Tables_number 166
_symmetry_space_group_name_Hall '-R 3 2"'
loop_
_atom_site_label
_atom_site_type_symbol
_atom_site_fract_x
_atom_site_fract_y
_atom_site_fract_z
P1 P 0.0000 0.0000 0.0000
W1 W 0.0000 0.0000 0.5000
N1 N 0.0000 0.0000 0.3848

No. 2
Here is a geometry-optimized AgHg2 structure from Alexandria via LeMat-Bulk. Energies are from PBE-GGA.

Structure (CIF):
```
data_AgHg2
_chemical_formula_sum 'Ag1 Hg2'
_cell_length_a 3.2142
_cell_length_b 4.8236
_cell_length_c 5.2883
_cell_angle_alpha 66.17
_cell_angle_beta 73.09
_cell_angle_gamma 70.92
_symmetry_space_group_name_H-M 'P -1'
_symmetry_Int_Tables_number 2
loop_
_symmetry_equiv_pos_as_xyz
'x,y,z'
'-x,-y,-z'
loop_
_atom_site_label
_atom_site_type_symbol
_atom_site_fract_x
_atom_site_fract_y
_atom_site_fract_z
Ag1 Ag 0.0000 0.0000 0.0000
Hg1 Hg 0.1908 0.3117 0.3158
```

Number 1: DOS(E_F) 1.06 states/eV/f.u., offset from the most stable computed form 0.03 eV per formula unit. Number 2: DOS(E_F) 0.60 states/eV/f.u., offset from the most stable computed form 0.12 eV per formula unit.